! ZrBe2Co | Alexandria | PBEsol | relaxed; values from VASP
&SYSTEM
  ibrav = 0, nat = 4, ntyp = 3
/
ATOMIC_SPECIES
Co 58.93 Co.upf
Zr 91.22 Zr.upf
Be 9.01 Be.upf
CELL_PARAMETERS angstrom
-0.6215 -2.6920 -2.2979
2.1154 -2.9048 0.0210
-2.1333 -3.7605 2.1727
ATOMIC_POSITIONS crystal
Co 0.5000 0.5000 0.5000
Zr 0.0000 0.0000 0.0000
Be 0.2026 0.2026 0.3922
Be 0.7974 0.7974 0.6078
! **Total energy**: -25.77 eV per cell
! **Fermi-level density of states**: 2.29 states/eV per cell
! **ΔE_f**: -22.7 kJ per mole of atoms
! **Calculated volume**: 12.2 A^3/atom
! **Space-group type**: R-3m

=====

! Zr2BeCo | Alexandria | PBEsol | relaxed; values from VASP
&SYSTEM
  ibrav = 0, nat = 4, ntyp = 3
/
ATOMIC_SPECIES
Zr 91.22 Zr.upf
Co 58.93 Co.upf
Be 9.01 Be.upf
CELL_PARAMETERS angstrom
3.3097 0.0000 0.0000
0.0000 3.8517 0.0000
-1.6548 0.0000 4.9233
ATOMIC_POSITIONS crystal
Zr 0.3900 0.5000 0.7799
Zr 0.1088 0.0000 0.2177
Co 0.6850 0.5000 0.3701
Be 0.8209 0.0000 0.6418
! **Total energy**: -30.90 eV per cell
! **Fermi-level density of states**: 3.61 states/eV per cell
! **ΔE_f**: -23.7 kJ per mole of atoms
! **Calculated volume**: 15.7 A^3/atom
! **Space-group type**: Amm2

=====

! BeCr | Alexandria | PBEsol | relaxed; values from VASP
&SYSTEM
  ibrav = 0, nat = 4, ntyp = 2
/
ATOMIC_SPECIES
Be 9.01 Be.upf
Cr 52.00 Cr.upf
CELL_PARAMETERS angstrom
2.2240 0.0000 0.0000
0.0000 4.0351 0.0000
0.0000 0.0000 4.4494
ATOMIC_POSITIONS crystal
Be 0.5000 0.5000 0.4113
Be 0.0000 0.0000 0.5887
Cr 0.5000 0.0000 0.1017
Cr 0.0000 0.5000 0.8983
! **Total energy**: -27.53 eV per cell
! **Fermi-level density of states**: 2.99 states/eV per cell
! **ΔE_f**: 23.0 kJ per mole of atoms
! **Calculated volume**: 10.0 A^3/atom
! **Space-group type**: Pmmn

=====

! BeCr3 | Alexandria | PBEsol | relaxed; values from VASP
&SYSTEM
  ibrav = 0, nat = 8, ntyp = 2
/
ATOMIC_SPECIES
Be 9.01 Be.upf
Cr 52.00 Cr.upf
CELL_PARAMETERS angstrom
4.3454 0.0000 0.0000
0.0000 4.3454 0.0000
0.0000 0.0000 4.3454
ATOMIC_POSITIONS crystal
Be 0.5000 0.5000 0.5000
Be 0.0000 0.0000 0.0000
Cr 0.0000 0.7500 0.5000
Cr 0.5000 0.0000 0.7500
Cr 0.5000 0.0000 0.2500
Cr 0.0000 0.2500 0.5000
Cr 0.7500 0.5000 0.0000
Cr 0.2500 0.5000 0.0000
! **Total energy**: -69.78 eV per cell
! **Fermi-level density of states**: 7.26 states/eV per cell
! **ΔE_f**: -3.9 kJ per mole of atoms
! **Calculated volume**: 10.3 A^3/atom
! **Space-group type**: Pm-3n

=====

! Be2Cr | Alexandria | PBEsol | relaxed; values from VASP
&SYSTEM
  ibrav = 0, nat = 12, ntyp = 2
/
ATOMIC_SPECIES
Be 9.01 Be.upf
Cr 52.00 Cr.upf
CELL_PARAMETERS angstrom
4.1666 0.0000 0.0000
-2.0833 3.6084 0.0000
0.0000 0.0000 6.8305
ATOMIC_POSITIONS crystal
Be 0.0000 0.0000 0.0000
Be 0.1703 0.3405 0.2500
Cr 0.6667 0.3333 0.0618
Cr 0.3333 0.6667 0.9382
Be 0.8297 0.1703 0.7500
Cr 0.3333 0.6667 0.5618
Cr 0.6667 0.3333 0.4382
Be 0.0000 0.0000 0.5000
Be 0.6595 0.8297 0.2500
Be 0.1703 0.8297 0.2500
Be 0.8297 0.6595 0.7500
Be 0.3405 0.1703 0.7500
! **Total energy**: -75.47 eV per cell
! **Fermi-level density of states**: 5.08 states/eV per cell
! **ΔE_f**: -20.1 kJ per mole of atoms
! **Calculated volume**: 8.6 A^3/atom
! **Space-group type**: P6_3/mmc

=====

! Be2Cr | Alexandria | PBEsol | relaxed; values from VASP
&SYSTEM
  ibrav = 0, nat = 6, ntyp = 2
/
ATOMIC_SPECIES
Cr 52.00 Cr.upf
Be 9.01 Be.upf
CELL_PARAMETERS angstrom
-1.4470 -0.7613 1.5417
-1.8159 -2.0575 -2.7203
4.6544 -4.6696 0.4249
ATOMIC_POSITIONS crystal
Cr 0.7140 0.2500 0.4280
Be 0.9484 0.7500 0.8967
Be 0.3960 0.2500 0.7920
Cr 0.2860 0.7500 0.5720
Be 0.0516 0.2500 0.1033
Be 0.6040 0.7500 0.2080
! **Total energy**: -35.36 eV per cell
! **Fermi-level density of states**: 3.19 states/eV per cell
! **ΔE_f**: 18.1 kJ per mole of atoms
! **Calculated volume**: 9.4 A^3/atom
! **Space-group type**: Cmcm

=====

! BeCr3 | Alexandria | PBEsol | relaxed; values from VASP
&SYSTEM
  ibrav = 0, nat = 4, ntyp = 2
/
ATOMIC_SPECIES
Cr 52.00 Cr.upf
Be 9.01 Be.upf
CELL_PARAMETERS angstrom
2.2888 0.0000 0.0000
0.0000 4.0504 0.0000
0.0000 0.0000 4.5705
ATOMIC_POSITIONS crystal
Cr 0.0000 0.5000 0.3065
Be 0.0000 0.0000 0.0109
Cr 0.5000 0.0000 0.5256
Cr 0.5000 0.5000 0.8237
! **Total energy**: -33.88 eV per cell
! **Fermi-level density of states**: 3.21 states/eV per cell
! **ΔE_f**: 20.5 kJ per mole of atoms
! **Calculated volume**: 10.6 A^3/atom
! **Space-group type**: Pmm2

=====

! BeCr3 | Alexandria | PBEsol | relaxed; values from VASP
&SYSTEM
  ibrav = 0, nat = 4, ntyp = 2
/
ATOMIC_SPECIES
Cr 52.00 Cr.upf
Be 9.01 Be.upf
CELL_PARAMETERS angstrom
-1.8019 1.5170 -0.0056
-0.9206 -1.0800 3.6408
3.3401 2.7225 1.6521
ATOMIC_POSITIONS crystal
Cr 0.2632 0.5000 0.7544
Be 0.0000 0.0000 0.0000
Cr 0.5000 0.0000 0.5000
Cr 0.7368 0.5000 0.2456
! **Total energy**: -34.46 eV per cell
! **Fermi-level density of states**: 2.56 states/eV per cell
! **ΔE_f**: 6.5 kJ per mole of atoms
! **Calculated volume**: 10.5 A^3/atom
! **Space-group type**: P2/m

=====

! BeCr3 | Alexandria | PBEsol | relaxed; values from VASP
&SYSTEM
  ibrav = 0, nat = 4, ntyp = 2
/
ATOMIC_SPECIES
Be 9.01 Be.upf
Cr 52.00 Cr.upf
CELL_PARAMETERS angstrom
-0.0812 -2.1945 -1.7878
3.6217 -0.9045 0.9457
-3.0708 -0.7042 3.2464
ATOMIC_POSITIONS crystal
Be 0.0000 0.0000 0.0000
Cr 0.7613 0.2613 0.5225
Cr 0.5000 0.5000 0.0000
Cr 0.2387 0.7387 0.4775
! **Total energy**: -34.39 eV per cell
! **Fermi-level density of states**: 2.83 states/eV per cell
! **ΔE_f**: 8.0 kJ per mole of atoms
! **Calculated volume**: 10.5 A^3/atom
! **Space-group type**: Immm

=====

! Be7Cr6 | Alexandria | PBEsol | relaxed; values from VASP
&SYSTEM
  ibrav = 0, nat = 13, ntyp = 2
/
ATOMIC_SPECIES
Be 9.01 Be.upf
Cr 52.00 Cr.upf
CELL_PARAMETERS angstrom
-3.3458 0.6096 -2.5329
-1.3204 -3.1159 -2.5554
-6.1658 -3.3751 3.7828
ATOMIC_POSITIONS crystal
Be 0.4068 0.4068 0.2729
Be 0.5000 0.5000 0.5000
Cr 0.0461 0.0461 0.8617
Cr 0.8530 0.8530 0.4411
Be 0.9135 0.4068 0.2729
Be 0.5932 0.5932 0.7271
Cr 0.3336 0.3336 0.9991
Be 0.5932 0.0865 0.7271
Cr 0.1470 0.1470 0.5589
Be 0.4068 0.9135 0.2729
Cr 0.6664 0.6664 0.0009
Cr 0.9539 0.9539 0.1383
Be 0.0865 0.5932 0.7271
! **Total energy**: -91.20 eV per cell
! **Fermi-level density of states**: 5.83 states/eV per cell
! **ΔE_f**: -13.0 kJ per mole of atoms
! **Calculated volume**: 9.1 A^3/atom
! **Space-group type**: R-3m

=====

! BeCr3 | Alexandria | PBEsol | relaxed; values from VASP
&SYSTEM
  ibrav = 0, nat = 4, ntyp = 2
/
ATOMIC_SPECIES
Cr 52.00 Cr.upf
Be 9.01 Be.upf
CELL_PARAMETERS angstrom
-1.3242 1.7543 -3.2087
-3.3055 0.8857 1.8484
1.5644 3.3563 1.1894
ATOMIC_POSITIONS crystal
Cr 0.0000 0.0000 0.5000
Cr 0.0000 0.5000 0.0000
Cr 0.5000 0.0000 0.0000
Be 0.0000 0.0000 0.0000
! **Total energy**: -26.38 eV per cell
! **Fermi-level density of states**: 4.53 states/eV per cell
! **ΔE_f**: 201.4 kJ per mole of atoms
! **Calculated volume**: 14.7 A^3/atom
! **Space-group type**: Pm-3m

=====

! Be3Cr | Alexandria | PBEsol | relaxed; values from VASP
&SYSTEM
  ibrav = 0, nat = 4, ntyp = 2
/
ATOMIC_SPECIES
Be 9.01 Be.upf
Cr 52.00 Cr.upf
CELL_PARAMETERS angstrom
-1.4486 2.9067 0.0146
-2.8859 -1.4402 0.3810
0.3475 0.1570 3.2253
ATOMIC_POSITIONS crystal
Be 0.5000 0.0000 0.5000
Be 0.5000 0.5000 0.0000
Be 0.0000 0.5000 0.5000
Cr 0.0000 0.0000 0.0000
! **Total energy**: -22.70 eV per cell
! **Fermi-level density of states**: 0.93 states/eV per cell
! **ΔE_f**: -11.0 kJ per mole of atoms
! **Calculated volume**: 8.6 A^3/atom
! **Space-group type**: Pm-3m

=====

! Be12Cr | Alexandria | PBEsol | relaxed; values from VASP
&SYSTEM
  ibrav = 0, nat = 13, ntyp = 2
/
ATOMIC_SPECIES
Be 9.01 Be.upf
Cr 52.00 Cr.upf
CELL_PARAMETERS angstrom
-3.2186 2.3820 -0.8858
-2.5558 -1.6142 -4.5473
-4.5992 -1.8258 2.3085
ATOMIC_POSITIONS crystal
Be 0.5000 0.2103 0.7897
Be 0.3479 0.6521 0.6521
Be 0.2897 0.2103 0.2103
Be 0.0000 0.5000 0.0000
Cr 0.0000 0.0000 0.0000
Be 0.0000 0.3479 0.6521
Be 0.5000 0.0000 0.5000
Be 0.5000 0.7897 0.2103
Be 0.0000 0.6521 0.3479
Be 0.5000 0.5000 0.0000
Be 0.6521 0.3479 0.3479
Be 0.0000 0.0000 0.5000
Be 0.7103 0.7897 0.7897
! **Total energy**: -58.78 eV per cell
! **Fermi-level density of states**: 2.60 states/eV per cell
! **ΔE_f**: -4.0 kJ per mole of atoms
! **Calculated volume**: 8.1 A^3/atom
! **Space-group type**: I4/mmm

=====

! Be2Cr | Alexandria | PBEsol | relaxed; values from VASP
&SYSTEM
  ibrav = 0, nat = 3, ntyp = 2
/
ATOMIC_SPECIES
Cr 52.00 Cr.upf
Be 9.01 Be.upf
CELL_PARAMETERS angstrom
2.5063 0.0000 0.0000
0.0000 3.5258 0.0000
0.0000 -1.7629 3.0534
ATOMIC_POSITIONS crystal
Cr 0.0000 0.0000 0.0000
Be 0.5000 0.3333 0.6667
Be 0.5000 0.6667 0.3333
! **Total energy**: -18.15 eV per cell
! **Fermi-level density of states**: 2.06 states/eV per cell
! **ΔE_f**: 2.8 kJ per mole of atoms
! **Calculated volume**: 9.0 A^3/atom
! **Space-group type**: P6/mmm